*w*
First-principles (PBEsol) data for CoCuIr2 after structural relaxation, as listed in Alexandria.

Unit cell a=2.640 b=2.640 c=7.163 alpha=90.00 beta=90.00 gamma=90.00
Space group P4/mmm (No. 123)
Inequivalent atoms, fractional coordinates:
1 Co 0.000 0.000 0.000
2 Cu 0.000 0.000 0.500
3 Ir 0.500 0.500 0.239

Computed properties:
For the density of states at the Fermi level, the calculation gives 4.4 states/eV/f.u.

=====

*x*
First-principles (PBEsol) data for CoCuIr2 after structural relaxation, as listed in Alexandria.

Unit cell a=8.504 b=2.651 c=4.587 alpha=90.00 beta=100.46 gamma=90.00
Space group C2/m (No. 12)
Inequivalent atoms, fractional coordinates:
1 Co 0.000 0.000 0.000
2 Cu 0.000 0.500 0.500
3 Ir 0.245 0.500 0.246

Computed properties:
For the density of states at the Fermi level, the calculation gives 5.7 states/eV/f.u.

=====

*y*
First-principles (PBEsol) data for CoCuIr2 after structural relaxation, as listed in Alexandria.

Unit cell a=2.6509 b=2.6509 c=25.0728 alpha=90.00 beta=90.00 gamma=120.00
Space group R-3m (No. 166, hexagonal axes)
Inequivalent atoms, fractional coordinates:
1 Co 0.0000 0.0000 0.0000
2 Cu 0.0000 0.0000 0.5000
3 Ir 0.0000 0.0000 0.2523

Computed properties:
For the density of states at the Fermi level, the calculation gives 4.4 states/eV/f.u.

=====

In kJ/mol of atoms, relative to the most stable structure: *w* 5.3; *x* 4.5; *y* 0.0.

=====

*w*
First-principles (PBEsol) data for CoCu2Ir after structural relaxation, as listed in Alexandria.

Unit cell a=2.624 b=4.367 c=8.589 alpha=90.00 beta=90.00 gamma=90.00
Space group Cmmm (No. 65)
Inequivalent atoms, fractional coordinates:
1 Co 0.000 0.000 0.000
2 Cu 0.000 0.500 0.239
3 Ir 0.000 0.000 0.500

Computed properties:
For the density of states at the Fermi level, the calculation gives 4.1 states/eV/f.u.

=====

*x*
First-principles (PBEsol) data for CoCu2Ir after structural relaxation, as listed in Alexandria.

Unit cell a=3.556 b=3.556 c=3.783 alpha=90.00 beta=90.00 gamma=90.00
Space group P4/mmm (No. 123)
Inequivalent atoms, fractional coordinates:
1 Co 0.000 0.000 0.000
2 Cu 0.000 0.500 0.500
3 Ir 0.500 0.500 0.000

Computed properties:
For the density of states at the Fermi level, the calculation gives 4.4 states/eV/f.u.

=====

*y*
First-principles (PBEsol) data for CoCu2Ir after structural relaxation, as listed in Alexandria.

Unit cell a=2.6022 b=2.6022 c=24.7084 alpha=90.00 beta=90.00 gamma=120.00
Space group R3m (No. 160, hexagonal axes)
Inequivalent atoms, fractional coordinates:
1 Co 0.0000 0.0000 0.0000
2 Cu 0.0000 0.0000 0.4956
3 Cu 0.0000 0.0000 0.7477
4 Ir 0.0000 0.0000 0.2509

Computed properties:
For the density of states at the Fermi level, the calculation gives 4.2 states/eV/f.u.

=====

In kJ/mol of atoms, relative to the most stable structure: *w* 15.5; *x* 8.9; *y* 0.0.